Record 1
DFT (PBE) results for an optimized crystal structure of Mg2ScCr.

crystal system = orthorhombic
D(E_F) = 3.87 states/eV/cell
final energy = -4.36 eV per atom
M_tot = 0.1 μB per formula unit

Unit cell a=2.8441 b=2.8441 c=9.2668 alpha=90.00 beta=90.00 gamma=89.87
Site moments in Bohr magnetons follow the coordinates.
Positions (direct):
Mg 0.0000 0.0000 0.9703  0.00
Mg 0.0000 0.0000 0.5297  0.00
Cr 0.5000 0.5000 0.7500  -0.01
Sc 0.5000 0.5000 0.2500  0.13



Record 2
DFT (PBE) results for an optimized crystal structure of CeErTm5.

crystal system = monoclinic
D(E_F) = 29.69 states/eV/cell
final energy = -4.49 eV per atom
M_tot = 1.9 μB per formula unit

Unit cell a=6.0060 b=9.1405 c=8.6081 alpha=85.92 beta=77.48 gamma=70.82
Site moments in Bohr magnetons follow the coordinates.
Positions (direct):
Tm 0.4582 0.3106 0.5379  0.06
Er 0.5136 0.9728 0.7500  0.20
Tm 0.1448 0.7104 0.2500  0.15
Tm 0.5418 0.6894 0.4621  0.06
Ce 0.0000 0.0000 0.0000  0.94
Tm 0.0128 0.3771 0.3536  0.06
Ce 0.0000 0.0000 0.5000  0.94
Tm 0.8552 0.2896 0.7500  0.15
Tm 0.3899 0.6229 0.8536  0.06
Tm 0.9872 0.6229 0.6464  0.06
Er 0.4864 0.0272 0.2500  0.20
Tm 0.7688 0.6894 0.0379  0.06
Tm 0.2312 0.3106 0.9621  0.06
Tm 0.6101 0.3771 0.1464  0.06